[1]
SmYMnIn | GGA-PBE | relaxed

Properties
E (eV per atom): -5.8705

Cell: 5.2613 5.2613 5.2613 Å, 60.00 60.00 60.00°
Last column: magnetic moment on the atom in μB.
Fractional positions:
Mn (0.0000, 0.0000, 0.0000)  3.76
Sm (0.7500, 0.7500, 0.7500)  -0.18
Y (0.2500, 0.2500, 0.2500)  -0.21
In (0.5000, 0.5000, 0.5000)  0.01

[2]
MnIn2Sn4 | GGA-PBE | relaxed

Properties
E (eV per atom): -4.1917

Cell: 4.8021 4.8021 9.5103 Å, 75.38 75.38 90.00°
Fractional positions:
Mn (0.0000, 0.0000, 0.0000)
In (0.3128, 0.3128, 0.3745)
In (0.6872, 0.6872, 0.6255)
Sn (0.5000, 0.0000, 0.0000)
Sn (0.0000, 0.5000, 0.0000)
Sn (0.8550, 0.8550, 0.2899)
Sn (0.1450, 0.1450, 0.7101)

[3]
Mn2InSn | GGA-PBE | relaxed

Properties
Distance to the lowest polymorph of the same formula (meV per atom): 203

Cell: 7.4070 7.4070 5.9981 Å, 51.87 51.87 90.00°
Last column: magnetic moment on the atom in μB.
Fractional positions:
In (0.5000, 0.5000, 0.0000)  -0.13
In (0.2500, 0.7500, 0.5000)  -0.13
Mn (0.8750, 0.8790, 0.7500)  3.26
Mn (0.1210, 0.6250, 0.2500)  3.26
Mn (0.3750, 0.3710, 0.7500)  3.27
Mn (0.6290, 0.1250, 0.2500)  3.26
Sn (0.7500, 0.2500, 0.5000)  -0.18
Sn (0.0000, 0.0000, 0.0000)  -0.18

[4]
Mn2InSn | GGA-PBE | relaxed

Properties
Distance to the lowest polymorph of the same formula (meV per atom): 0

Cell: 4.6482 4.6482 4.6482 Å, 60.00 60.00 60.00°
Last column: magnetic moment on the atom in μB.
Fractional positions:
Sn (0.5000, 0.5000, 0.5000)  -0.10
Mn (0.7500, 0.7500, 0.7500)  3.11
Mn (0.2500, 0.2500, 0.2500)  3.11
In (0.0000, 0.0000, 0.0000)  -0.09

[5]
SrMnIn2Sn | GGA-PBE | relaxed

Properties
E (eV per atom): -4.1894

Cell: 5.1313 5.1313 5.0872 Å, 90.00 90.00 90.00°
Last column: magnetic moment on the atom in μB.
Fractional positions:
Sr (0.5000, 0.5000, 0.5000)  0.01
In (0.0000, 0.5000, 0.0000)  -0.08
In (0.5000, 0.0000, 0.0000)  -0.08
Mn (0.0000, 0.0000, 0.0000)  2.18
Sn (0.0000, 0.0000, 0.5000)  -0.08

[6]
MnInTc2Sn | GGA-PBE | relaxed

Properties
E (eV per atom): -6.3953

Cell: 4.4974 4.8327 4.4974 Å, 90.00 90.00 90.00°
Fractional positions:
Mn (0.0000, 0.0000, 0.0000)
In (0.0000, 0.5000, 0.0000)
Tc (0.0000, 0.0000, 0.5000)
Tc (0.5000, 0.0000, 0.0000)
Sn (0.5000, 0.5000, 0.5000)